(1)
This record from Alexandria via LeMat-Bulk describes an optimized crystal structure of Sr3ScNb2O9. The functional is GGA-PBE.

## Properties
Spin magnetization   0.0 μB/cell
E   -8.034 eV/atom

Unit cell a=5.7898 b=5.7898 c=7.0868 alpha=90.00 beta=90.00 gamma=120.00
Space group P-3m1 (No. 164)
Symmetry-distinct sites (fractional):
Sr 0.0000 0.0000 0.0000 (multiplicity 1)
Sr 0.3333 0.6667 0.6622 (multiplicity 2)
Sc 0.0000 0.0000 0.5000 (multiplicity 1)
Nb 0.3333 0.6667 0.1698 (multiplicity 2)
O 0.0000 0.5000 0.0000 (multiplicity 3)
O 0.1692 0.3384 0.3289 (multiplicity 6)

=====

(2)
This record from Alexandria via LeMat-Bulk describes an optimized crystal structure of ScTaNbO6. The functional is GGA-PBE.

## Properties
Spin magnetization   2.0 μB/cell
E   -9.324 eV/atom

Unit cell a=4.8333 b=4.8333 c=9.4340 alpha=90.00 beta=90.00 gamma=90.00
Space group P4_2nm (No. 102)
Symmetry-distinct sites (fractional):
Sc 0.0000 0.0000 0.0000 (multiplicity 2)
Ta 0.0000 0.0000 0.3359 (multiplicity 2)
Nb 0.0000 0.0000 0.6692 (multiplicity 2)
O 0.1918 0.1918 0.4972 (multiplicity 4)
O 0.1977 0.1977 0.1782 (multiplicity 4)
O 0.2040 0.2040 0.8304 (multiplicity 4)

=====

(3)
This record from Alexandria via LeMat-Bulk describes an optimized crystal structure of ScNb2TcO. The functional is GGA-PBE.

## Properties
Spin magnetization   1.0 μB/cell
E   -7.245 eV/atom

Unit cell a=4.7455 b=4.7455 c=5.1399 alpha=90.00 beta=90.00 gamma=90.00
Space group P4/mmm (No. 123)
Symmetry-distinct sites (fractional):
Sc 0.0000 0.0000 0.0000 (multiplicity 1)
Nb 0.0000 0.5000 0.5000 (multiplicity 2)
Tc 0.0000 0.0000 0.5000 (multiplicity 1)
O 0.5000 0.5000 0.0000 (multiplicity 1)

=====

(4)
This record from Alexandria via LeMat-Bulk describes an optimized crystal structure of ScTiNbO6. The functional is GGA-PBE.

## Properties
Spin magnetization   0.0 μB/cell
E   -8.920 eV/atom

Unit cell a=5.1451 b=5.1451 c=8.9343 alpha=90.00 beta=90.00 gamma=120.00
Space group P-31c (No. 163)
Symmetry-distinct sites (fractional):
Sc 0.3333 0.6667 0.2500 (multiplicity 2)
Ti 0.3333 0.6667 0.7500 (multiplicity 2)
Nb 0.0000 0.0000 0.0000 (multiplicity 2)
O 0.0211 0.3364 0.6286 (multiplicity 12)

=====

(5)
This record from Alexandria via LeMat-Bulk describes an optimized crystal structure of ScNbTl2O6. The functional is GGA-PBE.

## Properties
Spin magnetization   0.0 μB/cell
E   -6.966 eV/atom

Unit cell a=8.2198 b=8.2198 c=8.2198 alpha=90.00 beta=90.00 gamma=90.00
Space group Fm-3m (No. 225)
Symmetry-distinct sites (fractional):
Sc 0.0000 0.0000 0.0000 (multiplicity 4)
Nb 0.0000 0.0000 0.5000 (multiplicity 4)
Tl 0.2500 0.2500 0.2500 (multiplicity 8)
O 0.0000 0.0000 0.2554 (multiplicity 24)

=====

(6)
This record from Alexandria via LeMat-Bulk describes an optimized crystal structure of Y2ScNbO. The functional is GGA-PBE.

## Properties
Spin magnetization   0.5 μB/cell
E   -7.870 eV/atom

Unit cell a=4.8471 b=4.8471 c=4.3250 alpha=90.00 beta=90.00 gamma=90.00
Space group P4/mmm (No. 123)
Symmetry-distinct sites (fractional):
Y 0.0000 0.5000 0.0000 (multiplicity 2)
Sc 0.0000 0.0000 0.5000 (multiplicity 1)
Nb 0.5000 0.5000 0.5000 (multiplicity 1)
O 0.0000 0.0000 0.0000 (multiplicity 1)